[1]
Ag2B2O5 | GGA-PBE | optimized geometry

a b c (Å): 2.9817 2.9817 10.1193
angles (deg): 90.00 90.00 90.00
Last column: nearest neighbours and their distance in Å.
Element x y z (fractional)
1 Ag 0.0000 0.0000 0.2131  5 O 2.16-2.36
2 Ag 0.0000 0.0000 0.7869  5 O 2.16-2.36
3 B 0.5000 0.5000 0.0000  4 O 2.11
4 B 0.5000 0.5000 0.5000  8 O 1.83
5 O 0.0000 0.0000 0.0000  4 B 2.11, 2 Ag 2.16
6 O 0.0000 0.5000 0.3945  2 B 1.83
7 O 0.0000 0.5000 0.6055  2 B 1.83
8 O 0.5000 0.0000 0.3945  2 B 1.83
9 O 0.5000 0.0000 0.6055  2 B 1.83

Output
* SG: No. 123
* mass density: 5.86 g/cm3
* polymorph energy (0 for the lowest one): 10.240 eV/f.u.
* E_tot: -37.51 eV per cell

---

[2]
GdDyAg2P4 | GGA-PBE | optimized geometry

a b c (Å): 3.8567 3.8567 10.1930
angles (deg): 90.00 90.00 90.00
Last column: nearest neighbours and their distance in Å.
Element x y z (fractional)
1 Gd 0.0000 0.0000 0.0000  8 P 2.90-2.98
2 Dy 0.5000 0.5000 0.5582  8 P 2.89-2.95
3 Ag 0.0000 0.5000 0.2803  4 P 2.70, 4 Ag 2.73
4 Ag 0.5000 0.0000 0.2803  4 P 2.70, 4 Ag 2.73
5 P 0.0000 0.0000 0.4655  4 Ag 2.70, 4 Dy 2.89
6 P 0.0000 0.5000 0.7776  4 P 2.73, 2 Dy 2.95, 2 Gd 2.98
7 P 0.5000 0.0000 0.7776  4 P 2.73, 2 Dy 2.95, 2 Gd 2.98
8 P 0.5000 0.5000 0.0956  4 Ag 2.70, 4 Gd 2.90

Output
* SG: No. 99
* mass density: 7.22 g/cm3
* E_tot: -42.24 eV per cell

---

[3]
TaZnCuSn | GGA-PBE | optimized geometry

a b c (Å): 4.5842 4.5842 4.5842
angles (deg): 60.00 60.00 60.00
Last column: nearest neighbours and their distance in Å.
Element x y z (fractional)
1 Ta 0.0000 0.0000 0.0000  4 Cu 2.81, 4 Zn 2.81
2 Zn 0.2500 0.2500 0.2500  4 Sn 2.81, 4 Ta 2.81
3 Cu 0.7500 0.7500 0.7500  4 Sn 2.81, 4 Ta 2.81
4 Sn 0.5000 0.5000 0.5000  4 Cu 2.81, 4 Zn 2.81

Output
* SG: No. 216
* mass density: 10.45 g/cm3
* polymorph energy (0 for the lowest one): 0.275 eV/f.u.
* E_tot: -18.90 eV per cell

---

[4]
ScReSn | GGA-PBE | optimized geometry

a b c (Å): 4.5409 4.5409 4.5409
angles (deg): 60.00 60.00 60.00
Last column: nearest neighbours and their distance in Å.
Element x y z (fractional)
1 Sc 0.0000 0.0000 0.0000  4 Re 2.78
2 Re 0.2500 0.2500 0.2500  4 Sn 2.78, 4 Sc 2.78
3 Sn 0.5000 0.5000 0.5000  4 Re 2.78

Output
* SG: No. 216
* mass density: 8.78 g/cm3
* E_tot: -21.99 eV per cell

---

[5]
GaRe2Au | GGA-PBE | optimized geometry

a b c (Å): 4.4580 4.4580 4.4580
angles (deg): 60.00 60.00 60.00
Last column: nearest neighbours and their distance in Å.
Element x y z (fractional)
1 Ga 0.0000 0.0000 0.0000  4 Re 2.73, 4 Au 2.73
2 Re 0.5000 0.5000 0.5000  4 Re 2.73, 4 Au 2.73
3 Re 0.7500 0.7500 0.7500  4 Re 2.73, 4 Ga 2.73
4 Au 0.2500 0.2500 0.2500  4 Re 2.73, 4 Ga 2.73

Output
* SG: No. 216
* mass density: 16.94 g/cm3
* E_tot: -29.11 eV per cell

---

[6]
Sm2LuGe7 | GGA-PBE | optimized geometry

a b c (Å): 12.5815 12.5815 4.2074
angles (deg): 90.00 90.00 161.45
Last column: nearest neighbours and their distance in Å.
Element x y z (fractional)
1 Sm 0.1808 0.8192 0.0000  10 Ge 3.05-3.29
2 Sm 0.8192 0.1808 0.0000  10 Ge 3.05-3.29
3 Lu 0.0000 0.0000 0.0000  12 Ge 2.92-3.06
4 Ge 0.0896 0.9104 0.5000  6 Ge 2.92-3.01, 2 Lu 3.06, 2 Sm 3.09
5 Ge 0.2829 0.7171 0.5000  2 Ge 2.60
6 Ge 0.4112 0.5888 0.0000  6 Ge 2.92-3.05, 2 Lu 3.00, 2 Sm 3.05
7 Ge 0.5000 0.5000 0.5000  4 Lu 2.92, 8 Ge 3.01-3.05
8 Ge 0.5888 0.4112 0.0000  6 Ge 2.92-3.05, 2 Lu 3.00, 2 Sm 3.05
9 Ge 0.7171 0.2829 0.5000  2 Ge 2.60
10 Ge 0.9104 0.0896 0.5000  6 Ge 2.92-3.01, 2 Lu 3.06, 2 Sm 3.09

Output
* SG: No. 65
* mass density: 7.71 g/cm3
* E_tot: -51.57 eV per cell

---

[7]
Li4AlSiAu2 | GGA-PBE | optimized geometry

a b c (Å): 4.3233 4.3233 6.1280
angles (deg): 90.00 90.00 90.00
Last column: nearest neighbours and their distance in Å.
Element x y z (fractional)
1 Li 0.0000 0.0000 0.0000  4 Au 2.66, 4 Li 2.68
2 Li 0.0000 0.5000 0.7404  4 Li 2.62-2.68, 2 Si 2.62, 2 Al 2.68
3 Li 0.5000 0.0000 0.2596  4 Li 2.62-2.68, 2 Si 2.62, 2 Al 2.68
4 Li 0.5000 0.5000 0.5000  4 Li 2.62, 4 Au 2.64
5 Al 0.5000 0.5000 0.0000  4 Au 2.66, 4 Li 2.68
6 Si 0.0000 0.0000 0.5000  4 Li 2.62, 4 Au 2.64
7 Au 0.0000 0.5000 0.2540  4 Li 2.64-2.66, 2 Si 2.64, 2 Al 2.66
8 Au 0.5000 0.0000 0.7460  4 Li 2.64-2.66, 2 Si 2.64, 2 Al 2.66

Output
* SG: No. 115
* mass density: 6.91 g/cm3
* E_tot: -27.22 eV per cell

---

[8]
RbHfHg | GGA-PBE | optimized geometry

a b c (Å): 5.2597 5.2597 5.2597
angles (deg): 60.00 60.00 60.00
Last column: nearest neighbours and their distance in Å.
Element x y z (fractional)
1 Rb 0.0000 0.0000 0.0000  4 Hg 3.22
2 Hf 0.5000 0.5000 0.5000  4 Hg 3.22
3 Hg 0.7500 0.7500 0.7500  4 Hf 3.22, 4 Rb 3.22

Output
* SG: No. 216
* mass density: 7.50 g/cm3
* polymorph energy (0 for the lowest one): 0.000 eV/f.u.
* E_tot: -7.82 eV per cell

---

[9]
Pr2Tm2Mg | GGA-PBE | optimized geometry

a b c (Å): 8.6581 8.6581 4.2873
angles (deg): 90.00 90.00 90.00
Last column: nearest neighbours and their distance in Å.
Element x y z (fractional)
1 Pr 0.1522 0.3478 0.0000  6 Tm 3.26-3.36
2 Pr 0.3478 0.8478 0.0000  6 Tm 3.26-3.36
3 Pr 0.6522 0.1522 0.0000  6 Tm 3.26-3.36
4 Pr 0.8478 0.6522 0.0000  6 Tm 3.26-3.36
5 Tm 0.1473 0.6473 0.5000  6 Pr 3.26-3.36, 2 Mg 3.31, 1 Tm 3.61
6 Tm 0.3527 0.1473 0.5000  6 Pr 3.26-3.36, 2 Mg 3.31, 1 Tm 3.61
7 Tm 0.6473 0.8527 0.5000  6 Pr 3.26-3.36, 2 Mg 3.31, 1 Tm 3.61
8 Tm 0.8527 0.3527 0.5000  6 Pr 3.26-3.36, 2 Mg 3.31, 1 Tm 3.61
9 Mg 0.0000 0.0000 0.5000  4 Tm 3.31
10 Mg 0.5000 0.5000 0.5000  4 Tm 3.31

Output
* SG: No. 127
* mass density: 6.65 g/cm3
* E_tot: -38.39 eV per cell

---

[10]
Gd2SiAu | GGA-PBE | optimized geometry

a b c (Å): 4.2837 5.8255 7.6909
angles (deg): 90.00 90.00 90.00
Last column: nearest neighbours and their distance in Å.
Element x y z (fractional)
1 Gd 0.0000 0.1121 0.0000  4 Si 3.02-3.04, 3 Au 3.08-3.22
2 Gd 0.0000 0.8879 0.5000  4 Si 3.02-3.04, 3 Au 3.08-3.22
3 Gd 0.5000 0.3786 0.6409  3 Si 3.04-3.19, 4 Au 3.04
4 Gd 0.5000 0.6214 0.1409  3 Si 3.04-3.19, 4 Au 3.04
5 Si 0.5000 0.1092 0.2800  2 Au 2.77, 5 Gd 3.02-3.04
6 Si 0.5000 0.8908 0.7800  2 Au 2.77, 5 Gd 3.02-3.04
7 Au 0.0000 0.3920 0.3606  2 Si 2.77, 5 Gd 3.04-3.08
8 Au 0.0000 0.6080 0.8606  2 Si 2.77, 5 Gd 3.04-3.08

Output
* SG: No. 26
* mass density: 9.34 g/cm3
* E_tot: -42.32 eV per cell

---

[11]
Lu4InBiC2 | GGA-PBE | optimized geometry

a b c (Å): 3.5568 3.5568 15.5761
angles (deg): 90.00 90.00 120.00
Last column: nearest neighbours and their distance in Å.
Element x y z (fractional)
1 Lu 0.0000 0.0000 0.1672  3 C 2.46
2 Lu 0.0000 0.0000 0.8328  3 C 2.46
3 Lu 0.6667 0.3333 0.3322  3 C 2.39
4 Lu 0.6667 0.3333 0.6678  3 C 2.39
5 In 0.6667 0.3333 0.0000  6 Lu 3.32, 6 In 3.56
6 Bi 0.0000 0.0000 0.5000  6 Lu 3.32, 6 Bi 3.56
7 C 0.3333 0.6667 0.2537  6 Lu 2.39-2.46
8 C 0.3333 0.6667 0.7463  6 Lu 2.39-2.46

Output
* SG: No. 187
* mass density: 10.19 g/cm3
* E_tot: -47.75 eV per cell

---

[12]
DyHoFe2Sn2C | GGA-PBE | optimized geometry

a b c (Å): 5.9613 5.9613 7.1758
angles (deg): 124.62 124.62 40.03
Last column: nearest neighbours and their distance in Å.
Element x y z (fractional)
1 Dy 0.0000 0.0000 0.0000  2 C 2.62
2 Ho 0.9131 0.9131 0.4731  2 C 2.61
3 Fe 0.2746 0.2746 0.6629  1 C 1.77
4 Fe 0.6378 0.6378 0.8084  1 C 1.77
5 Sn 0.2904 0.2904 0.0364  3 Fe 2.53-2.58
6 Sn 0.6223 0.6223 0.4360  3 Fe 2.52-2.57
7 C 0.4560 0.4560 0.7350  2 Fe 1.77

Output
* SG: No. 8
* mass density: 8.75 g/cm3
* E_tot: -45.75 eV per cell

---

[13]
RbNdTe3Au | GGA-PBE | optimized geometry

a b c (Å): 8.7335 8.7335 11.5162
angles (deg): 90.00 90.00 151.09
Last column: nearest neighbours and their distance in Å.
Element x y z (fractional)
1 Rb 0.2475 0.7525 0.7500  8 Te 3.68-4.10
2 Rb 0.7525 0.2475 0.2500  8 Te 3.68-4.10
3 Nd 0.0000 0.0000 0.0000  6 Te 3.15-3.17
4 Nd 0.0000 0.0000 0.5000  6 Te 3.15-3.17
5 Te 0.0754 0.9246 0.2500  2 Au 2.83, 2 Nd 3.15
6 Te 0.3696 0.6304 0.0581  1 Au 2.77
7 Te 0.3696 0.6304 0.4419  1 Au 2.77
8 Te 0.6304 0.3696 0.5581  1 Au 2.77
9 Te 0.6304 0.3696 0.9419  1 Au 2.77
10 Te 0.9246 0.0754 0.7500  2 Au 2.83, 2 Nd 3.15
11 Au 0.4686 0.5314 0.2500  4 Te 2.77-2.83
12 Au 0.5314 0.4686 0.7500  4 Te 2.77-2.83

Output
* SG: No. 63
* mass density: 6.33 g/cm3
* E_tot: -47.99 eV per cell

---

[14]
LaAg3Sb2 | GGA-PBE | optimized geometry

a b c (Å): 4.6886 4.6886 7.4139
angles (deg): 90.00 90.00 120.00
Last column: nearest neighbours and their distance in Å.
Element x y z (fractional)
1 La 0.0000 0.0000 0.0000  6 Sb 3.23
2 Ag 0.0000 0.0000 0.5000  6 Ag 2.93
3 Ag 0.3333 0.6667 0.6518  4 Sb 2.83-3.06, 3 Ag 2.93
4 Ag 0.6667 0.3333 0.3482  4 Sb 2.83-3.06, 3 Ag 2.93
5 Sb 0.3333 0.6667 0.2384  4 Ag 2.83-3.06
6 Sb 0.6667 0.3333 0.7616  4 Ag 2.83-3.06

Output
* SG: No. 164
* mass density: 8.31 g/cm3
* E_tot: -24.26 eV per cell

---

[15]
LiAlFeTc | GGA-PBE | optimized geometry

a b c (Å): 4.0913 4.0913 4.0913
angles (deg): 60.00 60.00 60.00
Last column: nearest neighbours and their distance in Å.
Element x y z (fractional)
1 Li 0.0000 0.0000 0.0000  4 Tc 2.51, 4 Al 2.51
2 Al 0.2500 0.2500 0.2500  4 Fe 2.51, 4 Li 2.51
3 Fe 0.5000 0.5000 0.5000  4 Tc 2.51, 4 Al 2.51
4 Tc 0.7500 0.7500 0.7500  4 Fe 2.51, 4 Li 2.51

Output
* SG: No. 216
* mass density: 6.44 g/cm3
* polymorph energy (0 for the lowest one): 0.000 eV/f.u.
* E_tot: -24.87 eV per cell

---

[16]
LiAgO2 | GGA-PBE | optimized geometry

a b c (Å): 5.4020 4.6831 3.6903
angles (deg): 90.00 90.00 90.00
Last column: nearest neighbours and their distance in Å.
Element x y z (fractional)
1 Li 0.0000 0.0000 0.0000  4 O 2.00
2 Li 0.5000 0.0000 0.5000  4 O 2.00
3 Ag 0.0000 0.5000 0.5000  4 O 2.02
4 Ag 0.5000 0.5000 0.0000  4 O 2.02
5 O 0.2500 0.2474 0.2500  2 Li 2.00, 2 Ag 2.02
6 O 0.2500 0.7526 0.7500  2 Li 2.00, 2 Ag 2.02
7 O 0.7500 0.2474 0.2500  2 Li 2.00, 2 Ag 2.02
8 O 0.7500 0.7526 0.7500  2 Li 2.00, 2 Ag 2.02

Output
* SG: No. 53
* mass density: 5.22 g/cm3
* E_tot: -35.28 eV per cell

---

[17]
PdO3 | GGA-PBE | optimized geometry

a b c (Å): 5.5884 5.5884 3.8783
angles (deg): 98.85 98.85 125.09
Last column: nearest neighbours and their distance in Å.
Element x y z (fractional)
1 Pd 0.0000 0.0000 0.0000  6 O 2.04-2.23
2 Pd 0.6671 0.3329 0.5000  4 O 2.05-2.06
3 O 0.0468 0.7528 0.3302  1 O 1.38
4 O 0.2472 0.9532 0.6698  1 O 1.38
5 O 0.4184 0.4753 0.3131  1 O 1.37
6 O 0.5247 0.5816 0.6869  1 O 1.37
7 O 0.7618 0.0397 0.3230  1 O 1.41
8 O 0.9603 0.2382 0.6770  1 O 1.41

Output
* SG: No. 5
* mass density: 5.49 g/cm3
* E_tot: -39.10 eV per cell

---

[18]
ScAgGeSe2S | GGA-PBE | optimized geometry

a b c (Å): 7.4033 7.4033 10.3604
angles (deg): 90.00 90.00 150.26
Last column: nearest neighbours and their distance in Å.
Element x y z (fractional)
1 Sc 0.0000 0.0000 0.0000  2 S 2.68, 4 Se 2.68
2 Sc 0.0000 0.0000 0.5000  2 S 2.68, 4 Se 2.68
3 Ag 0.3201 0.6799 0.7500  2 Se 2.51
4 Ag 0.6799 0.3201 0.2500  2 Se 2.51
5 Ge 0.3374 0.6626 0.2500  2 S 2.51, 2 Se 2.80
6 Ge 0.6626 0.3374 0.7500  2 S 2.51, 2 Se 2.80
7 Se 0.3682 0.6318 0.5169  1 Ag 2.51, 2 Sc 2.68, 1 Ge 2.80
8 Se 0.3682 0.6318 0.9831  1 Ag 2.51, 2 Sc 2.68, 1 Ge 2.80
9 Se 0.6318 0.3682 0.0169  1 Ag 2.51, 2 Sc 2.68, 1 Ge 2.80
10 Se 0.6318 0.3682 0.4831  1 Ag 2.51, 2 Sc 2.68, 1 Ge 2.80
11 S 0.0483 0.9517 0.7500  2 Ge 2.51, 2 Sc 2.68
12 S 0.9517 0.0483 0.2500  2 Ge 2.51, 2 Sc 2.68

Output
* SG: No. 63
* mass density: 4.90 g/cm3
* E_tot: -59.02 eV per cell

---

[19]
GdHoBi2Te2 | GGA-PBE | optimized geometry

a b c (Å): 4.3925 4.3925 9.3242
angles (deg): 90.00 90.00 90.00
Last column: nearest neighbours and their distance in Å.
Element x y z (fractional)
1 Gd 0.0000 0.0000 0.0000  5 Te 3.19-3.22, 4 Bi 3.45
2 Ho 0.5000 0.5000 0.5690  5 Te 3.16-3.21, 4 Bi 3.44
3 Bi 0.0000 0.5000 0.2848  4 Bi 3.11, 2 Ho 3.44, 2 Gd 3.45
4 Bi 0.5000 0.0000 0.2848  4 Bi 3.11, 2 Ho 3.44, 2 Gd 3.45
5 Te 0.0000 0.0000 0.6577  1 Gd 3.19, 4 Ho 3.21
6 Te 0.5000 0.5000 0.9084  1 Ho 3.16, 4 Gd 3.22

Output
* SG: No. 99
* mass density: 9.19 g/cm3
* E_tot: -29.60 eV per cell

---

[20]
Y2TmS3 | GGA-PBE | optimized geometry

a b c (Å): 3.8858 3.8858 9.5350
angles (deg): 90.00 90.00 120.00
Last column: nearest neighbours and their distance in Å.
Element x y z (fractional)
1 Y 0.3333 0.6667 0.1680  6 S 2.76-2.77
2 Y 0.6667 0.3333 0.8320  6 S 2.76-2.77
3 Tm 0.0000 0.0000 0.5000  6 S 2.72
4 S 0.0000 0.0000 0.0000  6 Y 2.76
5 S 0.3333 0.6667 0.6608  3 Tm 2.72, 3 Y 2.77
6 S 0.6667 0.3333 0.3392  3 Tm 2.72, 3 Y 2.77

Output
* SG: No. 164
* mass density: 5.90 g/cm3
* E_tot: -41.63 eV per cell